--- a ---
The following is a DFT calculation (GGA-PBE) of KLiSeN2 after structural relaxation.

## Properties
- SG: P4/mmm, No. 123

a = 5.061 Å, b = 5.061 Å, c = 6.291 Å
α = 90.00°, β = 90.00°, γ = 90.00°
Last column: magnetic moment on the atom in μB.
Fractional positions:
K 0.000 0.000 0.000  0.07
Li 0.500 0.500 0.500  -0.01
Se 0.000 0.000 0.500  0.49
N 0.000 0.500 0.000  1.70
N 0.500 0.000 0.000  1.70



--- b ---
The following is a DFT calculation (GGA-PBE) of KLiSeN2 after structural relaxation.

## Properties
- SG: P4/mmm, No. 123

a = 4.653 Å, b = 4.653 Å, c = 4.951 Å
α = 90.00°, β = 90.00°, γ = 90.00°
Last column: magnetic moment on the atom in μB.
Fractional positions:
K 0.500 0.500 0.500  0.01
Li 0.000 0.000 0.000  0.01
Se 0.000 0.000 0.500  0.62
N 0.000 0.500 0.000  1.63
N 0.500 0.000 0.000  1.63



The data favor b; the next most stable structure lies 500 meV per atom above it.



--- a ---
The following is a DFT calculation (GGA-PBE) of KLiSe2N after structural relaxation.

## Properties
- SG: P4/mmm, No. 123

a = 6.017 Å, b = 6.017 Å, c = 5.129 Å
α = 90.00°, β = 90.00°, γ = 90.00°
Last column: magnetic moment on the atom in μB.
Fractional positions:
K 0.000 0.000 0.000  0.05
Li 0.500 0.500 0.500  -0.01
Se 0.000 0.500 0.000  0.70
Se 0.500 0.000 0.000  0.70
N 0.000 0.000 0.500  1.76



--- b ---
The following is a DFT calculation (GGA-PBE) of KLiSe2N after structural relaxation.

## Properties
- SG: P4/mmm, No. 123

a = 4.801 Å, b = 4.801 Å, c = 5.048 Å
α = 90.00°, β = 90.00°, γ = 90.00°
Last column: magnetic moment on the atom in μB.
Fractional positions:
K 0.500 0.500 0.500  0.00
Li 0.000 0.000 0.000  0.00
Se 0.000 0.500 0.000  0.17
Se 0.500 0.000 0.000  0.17
N 0.000 0.000 0.500  1.71



The data favor b; the next most stable structure lies 657 meV per atom above it.



--- a ---
The following is a DFT calculation (GGA-PBE) of K2LiZnN after structural relaxation.

## Properties
- SG: P4/mmm, No. 123

a = 5.835 Å, b = 3.704 Å, c = 5.835 Å
α = 90.00°, β = 90.00°, γ = 90.00°
Fractional positions:
Zn 0.500 0.500 0.500
Li 0.000 0.000 0.000
K 0.000 0.000 0.500
K 0.500 0.000 0.000
N 0.000 0.500 0.000



--- b ---
The following is a DFT calculation (GGA-PBE) of K2LiZnN after structural relaxation.

## Properties
- SG: P4/mmm, No. 123

a = 6.028 Å, b = 4.752 Å, c = 6.028 Å
α = 90.00°, β = 90.00°, γ = 90.00°
Last column: magnetic moment on the atom in μB.
Fractional positions:
Zn 0.000 0.500 0.000  0.03
Li 0.000 0.000 0.000  0.01
K 0.000 0.000 0.500  0.01
K 0.500 0.000 0.000  0.01
N 0.500 0.500 0.500  -0.16



The data favor a; the next most stable structure lies 744 meV per atom above it.



--- a ---
The following is a DFT calculation (GGA-PBE) of KNaLi2 after structural relaxation.

## Properties
- SG: Cm, No. 8

a = 3.793 Å, b = 3.793 Å, c = 11.908 Å
α = 79.74°, β = 79.74°, γ = 59.53°
Fractional positions:
K 0.499 0.499 0.500
Na 0.667 0.667 0.000
Li 0.074 0.074 0.775
Li 0.260 0.260 0.225



--- b ---
The following is a DFT calculation (GGA-PBE) of KNaLi2 after structural relaxation.

## Properties
- SG: I-42d, No. 122

a = 4.943 Å, b = 4.943 Å, c = 12.745 Å
α = 78.82°, β = 78.82°, γ = 90.00°
Fractional positions:
Na 0.500 0.500 0.000
Na 0.250 0.750 0.500
K 0.000 0.000 0.000
K 0.750 0.250 0.500
Li 0.579 0.125 0.250
Li 0.171 0.625 0.250
Li 0.375 0.421 0.750
Li 0.875 0.829 0.750



The data favor a; the next most stable structure lies 51 meV per atom above it.



--- a ---
The following is a DFT calculation (GGA-PBE) of KNaLi2 after structural relaxation.

## Properties
- SG: P4/mmm, No. 123

a = 3.963 Å, b = 3.963 Å, c = 9.238 Å
α = 90.00°, β = 90.00°, γ = 90.00°
Fractional positions:
Na 0.500 0.500 0.000
K 0.500 0.500 0.500
Li 0.000 0.000 0.808
Li 0.000 0.000 0.192



--- b ---
The following is a DFT calculation (GGA-PBE) of KNaLi2 after structural relaxation.

## Properties
- SG: Fm-3m, No. 225

a = 5.914 Å, b = 5.914 Å, c = 5.914 Å
α = 60.00°, β = 60.00°, γ = 60.00°
Fractional positions:
Na 0.000 0.000 0.000
K 0.500 0.500 0.500
Li 0.250 0.250 0.250
Li 0.750 0.750 0.750



The data favor a; the next most stable structure lies 29 meV per atom above it.



--- a ---
The following is a DFT calculation (GGA-PBE) of KNaLi2 after structural relaxation.

## Properties
- SG: R-3m, No. 166

a = 5.486 Å, b = 5.486 Å, c = 6.871 Å
α = 66.47°, β = 66.47°, γ = 60.00°
Fractional positions:
Na 0.500 0.500 0.500
K 0.000 0.000 0.000
Li 0.799 0.799 0.602
Li 0.201 0.201 0.398



--- b ---
The following is a DFT calculation (GGA-PBE) of KNaLi2 after structural relaxation.

## Properties
- SG: P4/mmm, No. 123

a = 5.325 Å, b = 5.227 Å, c = 5.227 Å
α = 90.00°, β = 90.00°, γ = 90.00°
Fractional positions:
Na 0.500 0.000 0.000
K 0.500 0.500 0.500
Li 0.000 0.000 0.500
Li 0.000 0.500 0.000



The data favor a; the next most stable structure lies 16 meV per atom above it.



--- a ---
The following is a DFT calculation (GGA-PBE) of K2Na2Li after structural relaxation.

## Properties
- SG: I4/mmm, No. 139

a = 5.495 Å, b = 5.495 Å, c = 9.599 Å
α = 73.37°, β = 73.37°, γ = 90.00°
Fractional positions:
Na 0.412 0.412 0.176
Na 0.588 0.588 0.824
K 0.750 0.250 0.500
K 0.250 0.750 0.500
Li 0.000 0.000 0.000



--- b ---
The following is a DFT calculation (GGA-PBE) of K2Na2Li after structural relaxation.

## Properties
- SG: P4/mbm, No. 127

a = 10.987 Å, b = 10.987 Å, c = 4.095 Å
α = 90.00°, β = 90.00°, γ = 90.00°
Fractional positions:
Na 0.120 0.620 0.500
Na 0.620 0.880 0.500
Na 0.880 0.380 0.500
Na 0.380 0.120 0.500
K 0.323 0.823 0.000
K 0.823 0.677 0.000
K 0.677 0.177 0.000
K 0.177 0.323 0.000
Li 0.000 0.000 0.000
Li 0.500 0.500 0.000



--- c ---
The following is a DFT calculation (GGA-PBE) of K2Na2Li after structural relaxation.

## Properties
- SG: P4/mbm, No. 127

a = 8.696 Å, b = 8.696 Å, c = 6.298 Å
α = 90.00°, β = 90.00°, γ = 90.00°
Fractional positions:
Na 0.358 0.858 0.000
Na 0.858 0.642 0.000
Na 0.642 0.142 0.000
Na 0.142 0.358 0.000
K 0.179 0.679 0.500
K 0.679 0.821 0.500
K 0.821 0.321 0.500
K 0.321 0.179 0.500
Li 0.000 0.000 0.000
Li 0.500 0.500 0.000



The data favor c; the next most stable structure lies 89 meV per atom above it.



--- a ---
The following is a DFT calculation (GGA-PBE) of KNaLi3 after structural relaxation.

## Properties
- SG: Pm-3m, No. 221

a = 5.942 Å, b = 5.942 Å, c = 5.942 Å
α = 90.00°, β = 90.00°, γ = 90.00°
Fractional positions:
Na 0.500 0.500 0.500
K 0.000 0.000 0.000
Li 0.000 0.500 0.000
Li 0.000 0.000 0.500
Li 0.500 0.000 0.000



--- b ---
The following is a DFT calculation (GGA-PBE) of KNaLi3 after structural relaxation.

## Properties
- SG: Pm-3m, No. 221

a = 5.737 Å, b = 5.737 Å, c = 5.737 Å
α = 90.00°, β = 90.00°, γ = 90.00°
Fractional positions:
Na 0.000 0.000 0.000
K 0.500 0.500 0.500
Li 0.000 0.500 0.000
Li 0.000 0.000 0.500
Li 0.500 0.000 0.000



The data favor b; the next most stable structure lies 269 meV per atom above it.



--- a ---
The following is a DFT calculation (GGA-PBE) of KNa2LiPb after structural relaxation.

## Properties
- SG: P4/mmm, No. 123

a = 5.753 Å, b = 5.753 Å, c = 5.246 Å
α = 90.00°, β = 90.00°, γ = 90.00°
Fractional positions:
Pb 0.000 0.000 0.500
Na 0.000 0.500 0.000
Na 0.500 0.000 0.000
K 0.500 0.500 0.500
Li 0.000 0.000 0.000



--- b ---
The following is a DFT calculation (GGA-PBE) of KNa2LiPb after structural relaxation.

## Properties
- SG: P4/mmm, No. 123

a = 6.032 Å, b = 6.032 Å, c = 5.499 Å
α = 90.00°, β = 90.00°, γ = 90.00°
Fractional positions:
Pb 0.000 0.000 0.000
Na 0.000 0.500 0.000
Na 0.500 0.000 0.000
K 0.500 0.500 0.500
Li 0.000 0.000 0.500



The data favor b; the next most stable structure lies 40 meV per atom above it.



--- a ---
The following is a DFT calculation (GGA-PBE) of K2NaLiS after structural relaxation.

## Properties
- SG: P4/mmm, No. 123

a = 6.410 Å, b = 6.410 Å, c = 4.662 Å
α = 90.00°, β = 90.00°, γ = 90.00°
Fractional positions:
Na 0.500 0.500 0.500
K 0.000 0.500 0.000
K 0.500 0.000 0.000
S 0.000 0.000 0.000
Li 0.000 0.000 0.500



--- b ---
The following is a DFT calculation (GGA-PBE) of K2NaLiS after structural relaxation.

## Properties
- SG: P4/mmm, No. 123

a = 6.619 Å, b = 4.342 Å, c = 6.619 Å
α = 90.00°, β = 90.00°, γ = 90.00°
Fractional positions:
Na 0.500 0.500 0.500
K 0.000 0.000 0.500
K 0.500 0.000 0.000
S 0.000 0.500 0.000
Li 0.000 0.000 0.000



The data favor a; the next most stable structure lies 135 meV per atom above it.



--- a ---
The following is a DFT calculation (GGA-PBE) of KLiNb3 after structural relaxation.

## Properties
- SG: Pm-3m, No. 221

a = 4.738 Å, b = 4.738 Å, c = 4.738 Å
α = 90.00°, β = 90.00°, γ = 90.00°
Fractional positions:
Nb 0.000 0.500 0.000
Nb 0.000 0.000 0.500
Nb 0.500 0.000 0.000
K 0.500 0.500 0.500
Li 0.000 0.000 0.000



--- b ---
The following is a DFT calculation (GGA-PBE) of KLiNb3 after structural relaxation.

## Properties
- SG: Pm-3m, No. 221

a = 4.688 Å, b = 4.688 Å, c = 4.688 Å
α = 90.00°, β = 90.00°, γ = 90.00°
Fractional positions:
Nb 0.000 0.500 0.000
Nb 0.000 0.000 0.500
Nb 0.500 0.000 0.000
K 0.000 0.000 0.000
Li 0.500 0.500 0.500



The data favor a; the next most stable structure lies 883 meV per atom above it.



--- a ---
The following is a DFT calculation (GGA-PBE) of K2LiNb after structural relaxation.

## Properties
- SG: I-42d, No. 122

a = 9.649 Å, b = 9.649 Å, c = 7.586 Å
α = 50.51°, β = 50.51°, γ = 90.00°
Last column: magnetic moment on the atom in μB.
Fractional positions:
Nb 0.000 0.000 0.000  3.03
Nb 0.750 0.250 0.500  3.03
K 0.601 0.125 0.250  0.03
K 0.149 0.625 0.250  0.03
K 0.375 0.399 0.750  0.03
K 0.875 0.851 0.750  0.03
Li 0.500 0.500 0.000  0.01
Li 0.250 0.750 0.500  0.01



--- b ---
The following is a DFT calculation (GGA-PBE) of K2LiNb after structural relaxation.

## Properties
- SG: Fm-3m, No. 225

a = 6.074 Å, b = 6.074 Å, c = 6.074 Å
α = 60.00°, β = 60.00°, γ = 60.00°
Last column: magnetic moment on the atom in μB.
Fractional positions:
Nb 0.500 0.500 0.500  3.13
K 0.250 0.250 0.250  0.04
K 0.750 0.750 0.750  0.04
Li 0.000 0.000 0.000  0.00



The data favor b; the next most stable structure lies 52 meV per atom above it.



--- a ---
The following is a DFT calculation (GGA-PBE) of KLiNi after structural relaxation.

## Properties
- SG: F-43m, No. 216

a = 4.981 Å, b = 4.981 Å, c = 4.981 Å
α = 60.00°, β = 60.00°, γ = 60.00°
Last column: magnetic moment on the atom in μB.
Fractional positions:
K 0.750 0.750 0.750  -0.01
Li 0.000 0.000 0.000  -0.01
Ni 0.500 0.500 0.500  0.30



--- b ---
The following is a DFT calculation (GGA-PBE) of KLiNi after structural relaxation.

## Properties
- SG: F-43m, No. 216

a = 4.892 Å, b = 4.892 Å, c = 4.892 Å
α = 60.00°, β = 60.00°, γ = 60.00°
Last column: magnetic moment on the atom in μB.
Fractional positions:
K 0.000 0.000 0.000  -0.01
Li 0.500 0.500 0.500  -0.01
Ni 0.750 0.750 0.750  0.22



--- c ---
The following is a DFT calculation (GGA-PBE) of KLiNi after structural relaxation.

## Properties
- SG: Imm2, No. 44

a = 6.285 Å, b = 6.285 Å, c = 6.285 Å
α = 152.90°, β = 143.28°, γ = 46.22°
Fractional positions:
K 0.007 0.007 0.000
Li 0.273 0.273 0.000
Ni 0.720 0.720 0.000



The data favor c; the next most stable structure lies 255 meV per atom above it.